{
  "formula": "RbTl5Sn",
  "functional": "PBE",
  "state": "optimized geometry",
  "dft_energy_ev_per_cell": -16.98,
  "lattice": [[4.9623, 0.0000, 0.0000], [0.0000, 4.9623, 0.0000], [0.0000, 0.0000, 10.6023]],
  "species": ["Rb", "Tl", "Tl", "Tl", "Tl", "Tl", "Sn"],
  "frac_coords": [[0.0000, 0.0000, 0.0000], [0.0000, 0.5000, 0.2840], [0.0000, 0.5000, 0.7160], [0.5000, 0.0000, 0.2840], [0.5000, 0.0000, 0.7160], [0.5000, 0.5000, 0.5000], [0.0000, 0.0000, 0.5000]]
}